(1)
VASP calculation (PBE-GGA) on a relaxed structure of LuFeCoSi.

## Properties
Distance to the lowest polymorph of the same formula, eV per formula unit: 1.18
Final energy, eV per atom: -6.37

a = 4.385 Å, b = 4.385 Å, c = 4.385 Å
α = 60.00°, β = 60.00°, γ = 60.00°
Site moments in Bohr magnetons follow the coordinates.
Sites, in units of the cell vectors:
Fe (0.500, 0.500, 0.500)  2.62
Lu (0.250, 0.250, 0.250)  0.00
Co (0.750, 0.750, 0.750)  1.49
Si (0.000, 0.000, 0.000)  0.04


(2)
VASP calculation (PBE-GGA) on a relaxed structure of LaYSi2Au2.

## Properties
Final energy, eV per atom: -5.64

a = 4.371 Å, b = 4.371 Å, c = 7.979 Å
α = 90.00°, β = 90.00°, γ = 120.00°
Sites, in units of the cell vectors:
Si (0.667, 0.333, 0.739)
Si (0.333, 0.667, 0.219)
Au (0.667, 0.333, 0.240)
Au (0.333, 0.667, 0.783)
La (0.000, 0.000, 0.503)
Y (0.000, 0.000, 0.998)


(3)
VASP calculation (PBE-GGA) on a relaxed structure of ZnPbSO.

## Properties
Distance to the lowest polymorph of the same formula, eV per formula unit: 3.27
Final energy, eV per atom: -3.65

a = 4.686 Å, b = 4.686 Å, c = 7.513 Å
α = 90.00°, β = 90.00°, γ = 90.00°
Sites, in units of the cell vectors:
O (0.250, 0.250, 0.495)
O (0.750, 0.750, 0.505)
S (0.750, 0.750, 0.714)
S (0.250, 0.250, 0.286)
Pb (0.750, 0.250, 0.000)
Pb (0.250, 0.750, 0.000)
Zn (0.750, 0.750, 0.253)
Zn (0.250, 0.250, 0.747)


(4)
VASP calculation (PBE-GGA) on a relaxed structure of GdAlHg2.

## Properties
Distance to the lowest polymorph of the same formula, eV per formula unit: 0.00
Final energy, eV per atom: -2.58

a = 4.858 Å, b = 6.587 Å, c = 6.587 Å
α = 120.03°, β = 90.00°, γ = 90.00°
Sites, in units of the cell vectors:
Hg (0.250, 0.329, 0.162)
Hg (0.250, 0.823, 0.147)
Hg (0.750, 0.162, 0.329)
Hg (0.750, 0.147, 0.823)
Al (0.750, 0.695, 0.838)
Al (0.250, 0.838, 0.695)
Gd (0.250, 0.338, 0.669)
Gd (0.750, 0.669, 0.338)


What did the first record say?
VASP calculation (PBE-GGA) on a relaxed structure of LuFeCoSi.

## Properties
Distance to the lowest polymorph of the same formula, eV per formula unit: 1.18
Final energy, eV per atom: -6.37

a = 4.385 Å, b = 4.385 Å, c = 4.385 Å
α = 60.00°, β = 60.00°, γ = 60.00°
Site moments in Bohr magnetons follow the coordinates.
Sites, in units of the cell vectors:
Fe (0.500, 0.500, 0.500)  2.62
Lu (0.250, 0.250, 0.250)  0.00
Co (0.750, 0.750, 0.750)  1.49
Si (0.000, 0.000, 0.000)  0.04


Q: final energy of number 2 (LaYSi2Au2)?
A: -5.64 eV per atom